No. 1
# AsRh2W | the Alexandria database | PBE | optimized geometry
# Volume in A^3/atom: 15.3
# Uncorrected energy in eV/atom: -8.123
# Energy of formation from the pure elements in eV/atom: -0.0465
data_AsRh2W
_space_group_name_H-M_alt 'P 1'
_space_group_IT_number 1
_space_group_name_Hall 'P 1'
_cell_length_a 4.7452
_cell_length_b 4.7452
_cell_length_c 4.7173
_cell_angle_alpha 87.09
_cell_angle_beta 87.09
_cell_angle_gamma 35.12
loop_
_atom_site_label
_atom_site_type_symbol
_atom_site_fract_x
_atom_site_fract_y
_atom_site_fract_z
_atom_site_occupancy
Rh1 Rh 0.7469 0.7469 0.7334 1
W1 W 0.4817 0.4817 0.5353 1
As1 As 0.2599 0.2599 0.2017 1
Rh2 Rh 0.0115 0.0115 0.0296 1

No. 2
# PrPu2Ir9 | the Alexandria database | PBE | optimized geometry
# Volume in A^3/atom: 18.0
# Uncorrected energy in eV/atom: -9.876
# Energy of formation from the pure elements in eV/atom: -0.4435
data_PrPu2Ir9
_space_group_name_H-M_alt 'P 1'
_space_group_IT_number 1
_space_group_name_Hall 'P 1'
_cell_length_a 5.3366
_cell_length_b 5.3366
_cell_length_c 9.2900
_cell_angle_alpha 73.31
_cell_angle_beta 73.31
_cell_angle_gamma 60.00
loop_
_atom_site_label
_atom_site_type_symbol
_atom_site_fract_x
_atom_site_fract_y
_atom_site_fract_z
_atom_site_occupancy
Ir1 Ir 0.0810 0.5844 0.7501 1
Ir2 Ir 0.5844 0.5844 0.7501 1
Ir3 Ir 0.9190 0.4156 0.2499 1
Pu1 Pu 0.8599 0.8599 0.4204 1
Ir4 Ir 0.4156 0.9190 0.2499 1
Ir5 Ir 0.5844 0.0810 0.7501 1
Pu2 Pu 0.1401 0.1401 0.5796 1
Ir6 Ir 0.4156 0.4156 0.2499 1
Pr1 Pr 0.0000 0.0000 0.0000 1
Ir7 Ir 0.3332 0.3332 0.0003 1
Ir8 Ir 0.6668 0.6668 0.9997 1
Ir9 Ir 0.5000 0.5000 0.5000 1

No. 3
# MnSiSnIrS | the Alexandria database | PBE | optimized geometry
# Volume in A^3/atom: 19.5
# Uncorrected energy in eV/atom: -6.675
data_MnSiSnIrS
_space_group_name_H-M_alt 'P 1'
_space_group_IT_number 1
_space_group_name_Hall 'P 1'
_cell_length_a 3.8093
_cell_length_b 3.8090
_cell_length_c 8.6572
_cell_angle_alpha 116.06
_cell_angle_beta 77.34
_cell_angle_gamma 119.98
loop_
_atom_site_label
_atom_site_type_symbol
_atom_site_fract_x
_atom_site_fract_y
_atom_site_fract_z
_atom_site_occupancy
S1 S 0.9498 0.2047 0.3814 1
Ir1 Ir 0.6159 0.0629 0.9066 1
Sn1 Sn 0.9490 0.5301 0.7069 1
Mn1 Mn 0.6161 0.4018 0.2450 1
Si1 Si 0.2827 0.5233 0.0336 1

No. 4
# GdYMgRh | the Alexandria database | PBE | optimized geometry
# Volume in A^3/atom: 23.2
# Uncorrected energy in eV/atom: -7.765
# Energy of formation from the pure elements in eV/atom: -0.3927
data_GdYMgRh
_space_group_name_H-M_alt 'P 1'
_space_group_IT_number 1
_space_group_name_Hall 'P 1'
_cell_length_a 5.0840
_cell_length_b 5.0840
_cell_length_c 5.0840
_cell_angle_alpha 60.00
_cell_angle_beta 60.00
_cell_angle_gamma 60.00
loop_
_atom_site_label
_atom_site_type_symbol
_atom_site_fract_x
_atom_site_fract_y
_atom_site_fract_z
_atom_site_occupancy
Gd1 Gd 0.2500 0.2500 0.2500 1
Mg1 Mg 0.0000 0.0000 0.0000 1
Y1 Y 0.7500 0.7500 0.7500 1
Rh1 Rh 0.5000 0.5000 0.5000 1

No. 5
# Li2TlGe | the Alexandria database | PBE | optimized geometry
# Volume in A^3/atom: 20.1
# Uncorrected energy in eV/atom: -2.804
# Energy of formation from the pure elements in eV/atom: -0.1014
data_Li2TlGe
_space_group_name_H-M_alt 'P 1'
_space_group_IT_number 1
_space_group_name_Hall 'P 1'
_cell_length_a 3.1933
_cell_length_b 3.1933
_cell_length_c 9.2887
_cell_angle_alpha 80.10
_cell_angle_beta 80.10
_cell_angle_gamma 60.00
loop_
_atom_site_label
_atom_site_type_symbol
_atom_site_fract_x
_atom_site_fract_y
_atom_site_fract_z
_atom_site_occupancy
Ge1 Ge 0.0000 0.0000 0.0000 1
Li1 Li 0.7411 0.7411 0.7766 1
Li2 Li 0.2589 0.2589 0.2234 1
Tl1 Tl 0.5000 0.5000 0.5000 1

No. 6
# Th2CO | the Alexandria database | PBE | optimized geometry
# Volume in A^3/atom: 17.8
# Uncorrected energy in eV/atom: -8.880
data_Th2CO
_space_group_name_H-M_alt 'P 1'
_space_group_IT_number 1
_space_group_name_Hall 'P 1'
_cell_length_a 3.7183
_cell_length_b 3.7183
_cell_length_c 6.3346
_cell_angle_alpha 72.93
_cell_angle_beta 72.93
_cell_angle_gamma 60.00
loop_
_atom_site_label
_atom_site_type_symbol
_atom_site_fract_x
_atom_site_fract_y
_atom_site_fract_z
_atom_site_occupancy
Th1 Th 0.2513 0.2513 0.2462 1
Th2 Th 0.7487 0.7487 0.7538 1
C1 C 0.0000 0.0000 0.0000 1
O1 O 0.5000 0.5000 0.5000 1

No. 7
# ZrTlP2Cl | the Alexandria database | PBE | optimized geometry
# Volume in A^3/atom: 27.0
# Uncorrected energy in eV/atom: -5.063
data_ZrTlP2Cl
_space_group_name_H-M_alt 'P 1'
_space_group_IT_number 1
_space_group_name_Hall 'P 1'
_cell_length_a 5.0615
_cell_length_b 5.0615
_cell_length_c 5.2790
_cell_angle_alpha 90.00
_cell_angle_beta 90.00
_cell_angle_gamma 90.00
loop_
_atom_site_label
_atom_site_type_symbol
_atom_site_fract_x
_atom_site_fract_y
_atom_site_fract_z
_atom_site_occupancy
Cl1 Cl 0.0000 0.0000 0.5000 1
P1 P 0.0000 0.5000 0.0000 1
Tl1 Tl 0.5000 0.5000 0.5000 1
P2 P 0.5000 0.0000 0.0000 1
Zr1 Zr 0.0000 0.0000 0.0000 1

No. 8
# NiIr2Se | the Alexandria database | PBE | optimized geometry
# Volume in A^3/atom: 14.4
# Uncorrected energy in eV/atom: -6.435
data_NiIr2Se
_space_group_name_H-M_alt 'P 1'
_space_group_IT_number 1
_space_group_name_Hall 'P 1'
_cell_length_a 2.8491
_cell_length_b 4.7566
_cell_length_c 5.2792
_cell_angle_alpha 53.48
_cell_angle_beta 90.00
_cell_angle_gamma 90.00
loop_
_atom_site_label
_atom_site_type_symbol
_atom_site_fract_x
_atom_site_fract_y
_atom_site_fract_z
_atom_site_occupancy
Ir1 Ir 0.5000 0.5000 0.0000 1
Ni1 Ni 0.5000 0.5000 0.5000 1
Se1 Se 0.0000 0.0000 0.5000 1
Ir2 Ir 0.0000 0.0000 0.0000 1

No. 9
# TcOs2Br | the Alexandria database | PBE | optimized geometry
# Volume in A^3/atom: 15.4
# Uncorrected energy in eV/atom: -7.352
data_TcOs2Br
_space_group_name_H-M_alt 'P 1'
_space_group_IT_number 1
_space_group_name_Hall 'P 1'
_cell_length_a 4.7657
_cell_length_b 4.7657
_cell_length_c 2.8429
_cell_angle_alpha 90.00
_cell_angle_beta 90.00
_cell_angle_gamma 107.13
loop_
_atom_site_label
_atom_site_type_symbol
_atom_site_fract_x
_atom_site_fract_y
_atom_site_fract_z
_atom_site_occupancy
Br1 Br 0.0000 0.5000 0.5000 1
Os1 Os 0.5000 0.5000 0.0000 1
Tc1 Tc 0.5000 0.0000 0.5000 1
Os2 Os 0.0000 0.0000 0.0000 1

No. 10
# Tb6AlIn5 | the Alexandria database | PBE | optimized geometry
# Volume in A^3/atom: 26.4
# Uncorrected energy in eV/atom: -4.225
# Energy of formation from the pure elements in eV/atom: -0.4571
data_Tb6AlIn5
_space_group_name_H-M_alt 'P 1'
_space_group_IT_number 1
_space_group_name_Hall 'P 1'
_cell_length_a 5.3078
_cell_length_b 7.4874
_cell_length_c 8.3933
_cell_angle_alpha 90.00
_cell_angle_beta 71.57
_cell_angle_gamma 90.00
loop_
_atom_site_label
_atom_site_type_symbol
_atom_site_fract_x
_atom_site_fract_y
_atom_site_fract_z
_atom_site_occupancy
In1 In 0.3322 0.5000 0.3356 1
In2 In 0.3319 0.0000 0.3361 1
In3 In 0.0000 0.5000 0.0000 1
Tb1 Tb 0.1639 0.7525 0.6722 1
Al1 Al 0.0000 0.0000 0.0000 1
Tb2 Tb 0.8361 0.7525 0.3278 1
In4 In 0.6678 0.5000 0.6644 1
Tb3 Tb 0.5000 0.7553 0.0000 1
In5 In 0.6681 0.0000 0.6639 1
Tb4 Tb 0.1639 0.2475 0.6722 1
Tb5 Tb 0.5000 0.2447 0.0000 1
Tb6 Tb 0.8361 0.2475 0.3278 1

No. 11
# ScCuW2 | the Alexandria database | PBE | optimized geometry
# Volume in A^3/atom: 16.4
# Uncorrected energy in eV/atom: -8.689
# Energy of formation from the pure elements in eV/atom: 0.3941
data_ScCuW2
_space_group_name_H-M_alt 'P 1'
_space_group_IT_number 1
_space_group_name_Hall 'P 1'
_cell_length_a 5.2213
_cell_length_b 5.2213
_cell_length_c 2.7249
_cell_angle_alpha 90.00
_cell_angle_beta 90.00
_cell_angle_gamma 117.78
loop_
_atom_site_label
_atom_site_type_symbol
_atom_site_fract_x
_atom_site_fract_y
_atom_site_fract_z
_atom_site_occupancy
Sc1 Sc 0.0000 0.5000 0.5000 1
W1 W 0.5000 0.5000 0.0000 1
W2 W 0.0000 0.0000 0.0000 1
Cu1 Cu 0.5000 0.0000 0.5000 1

No. 12
# CsTl4Hg | the Alexandria database | PBE | optimized geometry
# Volume in A^3/atom: 36.3
# Uncorrected energy in eV/atom: -1.845
# Energy of formation from the pure elements in eV/atom: -0.0752
data_CsTl4Hg
_space_group_name_H-M_alt 'P 1'
_space_group_IT_number 1
_space_group_name_Hall 'P 1'
_cell_length_a 5.0978
_cell_length_b 9.4702
_cell_length_c 9.0190
_cell_angle_alpha 90.00
_cell_angle_beta 90.00
_cell_angle_gamma 90.00
loop_
_atom_site_label
_atom_site_type_symbol
_atom_site_fract_x
_atom_site_fract_y
_atom_site_fract_z
_atom_site_occupancy
Tl1 Tl 0.5000 0.2817 0.5578 1
Tl2 Tl 0.5000 0.0554 0.2500 1
Tl3 Tl 0.5000 0.9446 0.7500 1
Hg1 Hg 0.0000 0.2246 0.7500 1
Tl4 Tl 0.0000 0.0000 0.0000 1
Hg2 Hg 0.0000 0.7754 0.2500 1
Cs1 Cs 0.0000 0.6144 0.7500 1
Tl5 Tl 0.5000 0.7183 0.4422 1
Tl6 Tl 0.0000 0.0000 0.5000 1
Tl7 Tl 0.5000 0.2817 0.9422 1
Tl8 Tl 0.5000 0.7183 0.0578 1
Cs2 Cs 0.0000 0.3856 0.2500 1

For reference, Fermi-level density of states by record: 3.1 23.7 1.9 2.0 2.8 1.8 3.2 4.0 4.0 5.5 2.9 5.8 states/eV per cell.